{"formula": "Sm5Ge5Ir2", "functional": "GGA-PBE", "state": "relaxed", "dft_energy_ev_per_atom": -6.1414, "total_magnetization_mub_per_fu": 0.0, "lattice_angstrom": [[-2.7310, 2.8566, 1.6195], [0.3518, -0.9374, 7.8784], [4.8489, 7.2931, 0.9445]], "species": ["Sm", "Sm", "Sm", "Sm", "Sm", "Ge", "Ge", "Ge", "Ge", "Ge", "Ir", "Ir"], "frac_coords": [[0.6268, 0.0734, 0.6729], [0.3732, 0.9266, 0.3271], [0.0000, 0.5000, 0.5000], [0.6933, 0.6914, 0.9220], [0.3067, 0.3086, 0.0780], [0.7210, 0.2213, 0.3366], [0.2790, 0.7787, 0.6634], [0.9480, 0.3007, 0.8034], [0.0000, 0.0000, 0.0000], [0.0520, 0.6993, 0.1966], [0.3838, 0.4708, 0.7616], [0.6162, 0.5292, 0.2384]]}

{"formula": "Sm3Ge2Ir", "functional": "GGA-PBE", "state": "relaxed", "dft_energy_ev_per_atom": -6.0738, "relative_energy_mev_per_atom": 140.1, "total_magnetization_mub_per_fu": 0.0, "lattice_angstrom": [[7.4199, -0.0133, -0.0097], [3.2762, 6.6574, -0.0097], [3.2762, 2.0351, 6.3387]], "species": ["Sm", "Sm", "Sm", "Sm", "Sm", "Sm", "Ge", "Ge", "Ge", "Ge", "Ir", "Ir"], "frac_coords": [[0.7500, 0.4273, 0.0727], [0.5727, 0.9273, 0.2500], [0.0727, 0.7500, 0.4273], [0.2500, 0.5727, 0.9273], [0.4273, 0.0727, 0.7500], [0.9273, 0.2500, 0.5727], [0.3471, 0.3471, 0.3471], [0.6529, 0.6529, 0.6529], [0.1529, 0.1529, 0.1529], [0.8471, 0.8471, 0.8471], [0.5000, 0.5000, 0.5000], [0.0000, 0.0000, 0.0000]]}

{"formula": "Sm4Ge8Ir", "functional": "GGA-PBE", "state": "relaxed", "dft_energy_ev_per_atom": -5.6156, "total_magnetization_mub_per_fu": 0.0, "lattice_angstrom": [[-2.3838, -2.8436, 1.7227], [1.4263, -2.8655, -2.7563], [12.2137, -3.9332, 10.4091]], "species": ["Ge", "Ge", "Ge", "Ge", "Ge", "Ge", "Ge", "Ge", "Ir", "Sm", "Sm", "Sm", "Sm"], "frac_coords": [[0.0000, 0.5000, 0.2354], [0.0000, 0.5000, 0.9452], [0.0000, 0.0000, 0.7491], [0.5000, 0.0000, 0.5602], [0.5000, 0.5000, 0.0458], [0.5000, 0.0000, 0.2334], [0.5000, 0.5000, 0.7539], [0.0000, 0.0000, 0.4628], [0.0000, 0.0000, 0.3150], [0.0000, 0.5000, 0.6083], [0.5000, 0.5000, 0.3985], [0.5000, 0.0000, 0.8946], [0.0000, 0.0000, 0.1007]]}

- Which formula does entry 2 have?
  Sm3Ge2Ir